Record 1
# IrOs4Br (PBE, relaxed)
# Energy relative to the elements, uncorrected in kJ/mol of formula units: 869
data_IrOs4Br
_chemical_formula_sum 'Ir4 Os16 Br4'
_cell_length_a 7.347
_cell_length_b 7.347
_cell_length_c 7.347
_cell_angle_alpha 90.00
_cell_angle_beta 90.00
_cell_angle_gamma 90.00
_space_group_name_H-M_alt 'F -4 3 m'
_space_group_IT_number 216
_space_group_name_Hall 'F -4 2 3'
loop_
_atom_site_label
_atom_site_type_symbol
_atom_site_fract_x
_atom_site_fract_y
_atom_site_fract_z
Ir1 Ir 0.000 0.000 0.000
Os1 Os 0.126 0.126 0.374
Br1 Br 0.250 0.250 0.750


Record 2
# MgTaIr2 (PBE, relaxed)
# Relative energy among the computed polymorphs in eV/f.u.: 0.88
# Calculated formation energy in eV/atom: -0.385
data_MgTaIr2
_chemical_formula_sum 'Mg2 Ta2 Ir4'
_cell_length_a 3.815
_cell_length_b 3.815
_cell_length_c 8.660
_cell_angle_alpha 90.00
_cell_angle_beta 90.00
_cell_angle_gamma 90.00
_space_group_name_H-M_alt 'I -4 m 2'
_space_group_IT_number 119
_space_group_name_Hall 'I -4 -2'
loop_
_atom_site_label
_atom_site_type_symbol
_atom_site_fract_x
_atom_site_fract_y
_atom_site_fract_z
Mg1 Mg 0.000 0.000 0.000
Ta1 Ta 0.000 0.500 0.750
Ir1 Ir 0.000 0.000 0.500
Ir2 Ir 0.000 0.500 0.250


Record 3
# Cd2InSe (PBE, relaxed)
# Relative energy among the computed polymorphs in eV/f.u.: 0.34
# Energy relative to the elements, uncorrected in kJ/mol of formula units: -38
data_Cd2InSe
_chemical_formula_sum 'Cd4 In2 Se2'
_cell_length_a 3.974
_cell_length_b 4.147
_cell_length_c 12.563
_cell_angle_alpha 90.00
_cell_angle_beta 90.00
_cell_angle_gamma 90.00
_space_group_name_H-M_alt 'I m m 2'
_space_group_IT_number 44
loop_
_space_group_symop_operation_xyz
'x,y,z'
'-x,-y,z'
'-x,y,z'
'x,-y,z'
'x+1/2,y+1/2,z+1/2'
'-x+1/2,-y+1/2,z+1/2'
'-x+1/2,y+1/2,z+1/2'
'x+1/2,-y+1/2,z+1/2'
loop_
_atom_site_label
_atom_site_type_symbol
_atom_site_fract_x
_atom_site_fract_y
_atom_site_fract_z
Cd1 Cd 0.000 0.000 0.000
Cd2 Cd 0.000 0.500 0.176
In1 In 0.000 0.500 0.764
Se1 Se 0.000 0.000 0.441


Record 4
# RbBa2Ag2 (PBE, relaxed)
# Relative energy among the computed polymorphs in eV/f.u.: 0.45
# Calculated formation energy in eV/atom: -0.038
data_RbBa2Ag2
_chemical_formula_sum 'Rb2 Ba4 Ag4'
_cell_length_a 10.019
_cell_length_b 10.019
_cell_length_c 4.026
_cell_angle_alpha 90.00
_cell_angle_beta 90.00
_cell_angle_gamma 90.00
_space_group_name_H-M_alt 'P 4/m b m'
_space_group_IT_number 127
_space_group_name_Hall '-P 4 2ab'
loop_
_atom_site_label
_atom_site_type_symbol
_atom_site_fract_x
_atom_site_fract_y
_atom_site_fract_z
Rb1 Rb 0.000 0.000 0.000
Ba1 Ba 0.139 0.361 0.000
Ag1 Ag 0.152 0.652 0.500


Record 5
# UPdAu4 (PBE, relaxed)
# Relative energy among the computed polymorphs in eV/f.u.: 0.32
# Calculated formation energy in eV/atom: -0.130
data_UPdAu4
_chemical_formula_sum 'U4 Pd4 Au16'
_cell_length_a 7.792
_cell_length_b 7.792
_cell_length_c 7.792
_cell_angle_alpha 90.00
_cell_angle_beta 90.00
_cell_angle_gamma 90.00
_space_group_name_H-M_alt 'F -4 3 m'
_space_group_IT_number 216
_space_group_name_Hall 'F -4 2 3'
loop_
_atom_site_label
_atom_site_type_symbol
_atom_site_fract_x
_atom_site_fract_y
_atom_site_fract_z
U1 U 0.000 0.000 0.000
Pd1 Pd 0.250 0.250 0.250
Au1 Au 0.125 0.125 0.625


Record 6
# AlAs (PBE, relaxed)
# Calculated formation energy in eV/atom: -0.490
data_AlAs
_chemical_formula_sum 'Al4 As4'
_cell_length_a 5.733
_cell_length_b 5.733
_cell_length_c 5.733
_cell_angle_alpha 90.00
_cell_angle_beta 90.00
_cell_angle_gamma 90.00
_space_group_name_H-M_alt 'F -4 3 m'
_space_group_IT_number 216
_space_group_name_Hall 'F -4 2 3'
loop_
_atom_site_label
_atom_site_type_symbol
_atom_site_fract_x
_atom_site_fract_y
_atom_site_fract_z
Al1 Al 0.000 0.000 0.000
As1 As 0.250 0.250 0.750


Record 7
# IrPd5 (PBE, relaxed)
# Relative energy among the computed polymorphs in eV/f.u.: 0.36
# Calculated formation energy in eV/atom: 0.143
data_IrPd5
_chemical_formula_sum 'Ir2 Pd10'
_cell_length_a 4.693
_cell_length_b 14.128
_cell_length_c 2.788
_cell_angle_alpha 90.00
_cell_angle_beta 90.00
_cell_angle_gamma 90.00
_space_group_name_H-M_alt 'C m m m'
_space_group_IT_number 65
_space_group_name_Hall '-C 2 2'
loop_
_atom_site_label
_atom_site_type_symbol
_atom_site_fract_x
_atom_site_fract_y
_atom_site_fract_z
Ir1 Ir 0.000 0.000 0.000
Pd1 Pd 0.000 0.161 0.500
Pd2 Pd 0.000 0.328 0.000
Pd3 Pd 0.000 0.500 0.500


Record 8
# Tl2HgPb (PBE, relaxed)
# Calculated formation energy in eV/atom: 0.011
data_Tl2HgPb
_chemical_formula_sum 'Tl4 Hg2 Pb2'
_cell_length_a 3.813
_cell_length_b 5.628
_cell_length_c 11.186
_cell_angle_alpha 90.00
_cell_angle_beta 90.00
_cell_angle_gamma 90.00
_space_group_name_H-M_alt 'C m m 2'
_space_group_IT_number 35
loop_
_space_group_symop_operation_xyz
'x,y,z'
'-x,-y,z'
'-x,y,z'
'x,-y,z'
'x+1/2,y+1/2,z'
'-x+1/2,-y+1/2,z'
'-x+1/2,y+1/2,z'
'x+1/2,-y+1/2,z'
loop_
_atom_site_label
_atom_site_type_symbol
_atom_site_fract_x
_atom_site_fract_y
_atom_site_fract_z
Tl1 Tl 0.000 0.000 0.000
Tl2 Tl 0.000 0.500 0.259
Hg1 Hg 0.000 0.000 0.498
Pb1 Pb 0.000 0.500 0.744


Going through the records in order, we get DFT total energy values of -46.4 -32.7 -8.4 -10.7 -30.4 -9.4 -34.0 -8.7 eV per formula unit.